Record 1
{
  "formula": "YHoAu2O4",
  "functional": "PBE",
  "state": "relaxed",
  "spacegroup": "P-3m1, No. 164",
  "vol_a3_per_cell": 131.52,
  "density_g_cm3": 9.0,
  "total_energy_ry_per_atom": -0.508,
  "lattice": [[3.537, 0.000, 0.000], [-1.768, 3.063, 0.000], [0.000, 0.000, 12.140]],
  "species": ["Y", "Ho", "Au", "Au", "O", "O", "O", "O"],
  "frac_coords": [[0.000, 0.000, 0.000], [0.000, 0.000, 0.500], [0.333, 0.667, 0.749], [0.667, 0.333, 0.251], [0.333, 0.667, 0.581], [0.333, 0.667, 0.917], [0.667, 0.333, 0.083], [0.667, 0.333, 0.419]]
}

=====

Record 2
{
  "formula": "AcHfIr",
  "functional": "PBE",
  "state": "relaxed",
  "spacegroup": "F-43m, No. 216",
  "ef_mev_per_atom": 287,
  "vol_a3_per_cell": 76.22,
  "density_g_cm3": 13.0,
  "lattice": [[0.000, 3.365, 3.365], [3.365, 0.000, 3.365], [3.365, 3.365, 0.000]],
  "species": ["Ac", "Hf", "Ir"],
  "frac_coords": [[0.000, 0.000, 0.000], [0.250, 0.250, 0.250], [0.500, 0.500, 0.500]]
}

=====

Record 3
{
  "formula": "ErTm2Sc3Te2Au",
  "functional": "PBE",
  "state": "relaxed",
  "spacegroup": "Amm2, No. 38",
  "vol_a3_per_cell": 217.93,
  "density_g_cm3": 8.3,
  "total_energy_ry_per_atom": -0.401,
  "lattice": [[3.924, 0.000, 0.000], [0.000, 6.930, 4.007], [0.000, -6.930, 4.007]],
  "species": ["Er", "Tm", "Tm", "Sc", "Sc", "Sc", "Te", "Te", "Au"],
  "frac_coords": [[0.000, 0.000, 0.000], [0.000, 0.207, 0.603], [0.000, 0.603, 0.207], [0.500, 0.354, 0.354], [0.500, 0.603, 0.851], [0.500, 0.851, 0.603], [0.500, 0.270, 0.936], [0.500, 0.936, 0.270], [0.000, 0.601, 0.601]]
}